Compound: Sc2Fe2Ge2H
Source: Alexandria
Functional: GGA-PBE
Structure: relaxed Values from VASP.

For the raw total energy, the calculation gives -6.58 eV/atom. For the density of states at the Fermi level, the calculation gives 4.56 states/eV/f.u. As for the density: 6.0 g/cm³.

Geometry as Quantum ESPRESSO input:
```
&SYSTEM
  ibrav = 0, nat = 7, ntyp = 4
/
ATOMIC_SPECIES
Ge 72.64 Ge.upf
Sc 44.96 Sc.upf
Fe 55.84 Fe.upf
H 1.01 H.upf
CELL_PARAMETERS angstrom
-0.1728 -2.1900 3.1533
2.2458 -2.6177 -1.6950
4.2630 5.4104 1.6493
ATOMIC_POSITIONS crystal
Ge 0.3831 0.3831 0.7662
Ge 0.6169 0.6169 0.2338
Sc 0.1593 0.1593 0.3185
Sc 0.8407 0.8407 0.6815
Fe 0.0000 0.5000 0.0000
Fe 0.5000 0.0000 0.0000
H 0.0000 0.0000 0.0000
```

***

Compound: Li2YMg2Tl2
Source: Alexandria
Functional: GGA-PBE
Structure: relaxed Values from VASP.

As for the formation energy: -227.7 meV per atom. For the density of states at the Fermi level, the calculation gives 3.28 states/eV/f.u. As for the density: 5.8 g/cm³.

Geometry as Quantum ESPRESSO input:
```
&SYSTEM
  ibrav = 0, nat = 7, ntyp = 4
/
ATOMIC_SPECIES
Mg 24.30 Mg.upf
Li 6.94 Li.upf
Tl 204.38 Tl.upf
Y 88.91 Y.upf
CELL_PARAMETERS angstrom
-4.4059 -0.1121 -2.2181
0.4669 -1.6349 4.6429
-0.3480 8.0950 0.2821
ATOMIC_POSITIONS crystal
Mg 0.5754 0.1508 0.7231
Mg 0.4246 0.8492 0.2769
Li 0.8588 0.7177 0.5728
Li 0.1412 0.2823 0.4272
Tl 0.7315 0.4629 0.1963
Tl 0.2685 0.5371 0.8037
Y 0.0000 0.0000 0.0000
```

***

Compound: Sm2Fe15Si2
Source: Alexandria
Functional: GGA-PBE
Structure: relaxed Values from VASP.

Its offset from the most stable computed form is 100 meV/atom. The calculation puts the formation energy without anion corrections at -1.01 eV per formula unit. For the density of states at the Fermi level, the calculation gives 23.03 states/eV/f.u. As for the density: 7.8 g/cm³.

Geometry as Quantum ESPRESSO input:
```
&SYSTEM
  ibrav = 0, nat = 19, ntyp = 3
/
ATOMIC_SPECIES
Fe 55.84 Fe.upf
Sm 150.36 Sm.upf
Si 28.09 Si.upf
CELL_PARAMETERS angstrom
-4.0760 4.2874 -2.4163
-5.1080 -3.8007 -0.5451
-2.9383 1.6322 5.4348
ATOMIC_POSITIONS crystal
Fe 0.0000 0.5000 0.0000
Fe 0.5000 0.0000 0.0000
Fe 0.7067 0.2933 0.0000
Fe 0.0000 0.0000 0.5000
Fe 0.1560 0.6613 0.6613
Fe 0.2933 0.7067 0.0000
Fe 0.0000 0.2933 0.7067
Fe 0.7067 0.0000 0.2933
Fe 0.0000 0.7067 0.2933
Fe 0.2933 0.0000 0.7067
Fe 0.6613 0.1560 0.6613
Fe 0.3387 0.3387 0.8440
Fe 0.3387 0.8440 0.3387
Fe 0.6613 0.6613 0.1560
Fe 0.8440 0.3387 0.3387
Sm 0.6540 0.6540 0.6540
Sm 0.3460 0.3460 0.3460
Si 0.1008 0.1008 0.1008
Si 0.8992 0.8992 0.8992
```

***

Compound: Ag2IrF
Source: Alexandria
Functional: GGA-PBE
Structure: relaxed Values from VASP.

Its offset from the most stable computed form is 0 meV/atom. The calculation puts the formation energy without anion corrections at 1.52 eV per formula unit. For the density of states at the Fermi level, the calculation gives 3.56 states/eV/f.u. As for the density: 10.7 g/cm³.

Geometry as Quantum ESPRESSO input:
```
&SYSTEM
  ibrav = 0, nat = 8, ntyp = 3
/
ATOMIC_SPECIES
F 19.00 F.upf
Ir 192.22 Ir.upf
Ag 107.87 Ag.upf
CELL_PARAMETERS angstrom
-1.2493 -6.0710 -3.0350
5.5756 -2.6777 3.0612
0.6094 -5.1362 2.1767
ATOMIC_POSITIONS crystal
F 0.5000 0.5000 0.0000
F 0.2500 0.7500 0.5000
Ir 0.7500 0.2500 0.5000
Ir 0.0000 0.0000 0.0000
Ag 0.5863 0.1250 0.2500
Ag 0.3750 0.4137 0.7500
Ag 0.1637 0.6250 0.2500
Ag 0.8750 0.8363 0.7500
```

***

Q: What is the density in the third record?
A: 7.8 g/cm³

***

Q: Number 4 is which compound?
A: Ag2IrF

***

Q: The lowest density belongs to which entry?
A: Li2YMg2Tl2

***

Q: Look up the density of the first one.
A: 6.0 g/cm³